1.
First-principles (PBE-GGA) data for a relaxed structure of LuMgInS3, as listed in OQMD.

Energy above the lowest structure with this stoichiometry = 0.022 eV per atom
Crystal system = orthorhombic

Cell lengths 7.2882, 7.2882, 10.5881 Å; angles 90.00, 90.00, 148.21 degrees
Sites, in units of the cell vectors:
In 0.2414 0.7586 0.2500
In 0.7586 0.2414 0.7500
Lu 0.5000 0.5000 0.0000
Lu 0.5000 0.5000 0.5000
Mg 0.9573 0.0427 0.2500
Mg 0.0427 0.9573 0.7500
S 0.8764 0.1236 0.0515
S 0.5598 0.4402 0.2500
S 0.8764 0.1236 0.4485
S 0.1236 0.8764 0.5515
S 0.4402 0.5598 0.7500
S 0.1236 0.8764 0.9485


2.
First-principles (PBE-GGA) data for a relaxed structure of Dy3Lu4Te2Ir2, as listed in OQMD.

Energy above the lowest structure with this stoichiometry = 0.000 eV per atom
Crystal system = orthorhombic

Cell lengths 9.2759, 9.2759, 9.2759 Å; angles 155.58, 65.78, 119.98 degrees
Sites, in units of the cell vectors:
Dy 0.5229 0.5229 0.0000
Dy 0.6108 0.2595 0.3513
Dy 0.9081 0.2595 0.6487
Ir 0.8326 0.5920 0.2406
Ir 0.3514 0.5920 0.7594
Lu 0.2409 0.1080 0.1328
Lu 0.2113 0.8955 0.3158
Lu 0.5797 0.8955 0.6842
Lu 0.9752 0.1080 0.8672
Te 0.8637 0.8637 0.0000
Te 0.2571 0.7571 0.5000


3.
First-principles (PBE-GGA) data for a relaxed structure of LaYIn2Pt4, as listed in OQMD.

Crystal system = hexagonal

Cell lengths 4.6273, 4.6273, 9.2702 Å; angles 90.00, 90.00, 120.00 degrees
Sites, in units of the cell vectors:
In 0.3333 0.6667 0.2565
In 0.3333 0.6667 0.7435
La 0.0000 0.0000 0.0000
Pt 0.6667 0.3333 0.1691
Pt 0.0000 0.0000 0.3455
Pt 0.0000 0.0000 0.6545
Pt 0.6667 0.3333 0.8309
Y 0.6667 0.3333 0.5000


4.
First-principles (PBE-GGA) data for a relaxed structure of CsLaDy, as listed in OQMD.

Energy above the lowest structure with this stoichiometry = 0.423 eV per atom
Crystal system = cubic

Cell lengths 5.6047, 5.6047, 5.6047 Å; angles 60.00, 60.00, 60.00 degrees
Sites, in units of the cell vectors:
Cs 0.0000 0.0000 0.0000
Dy 0.7500 0.7500 0.7500
La 0.2500 0.2500 0.2500


5.
First-principles (PBE-GGA) data for a relaxed structure of NaTmPb, as listed in OQMD.

Crystal system = cubic

Cell lengths 5.1280, 5.1280, 5.1280 Å; angles 60.00, 60.00, 60.00 degrees
Sites, in units of the cell vectors:
Na 0.2500 0.2500 0.2500
Pb 0.0000 0.0000 0.0000
Tm 0.7500 0.7500 0.7500


6.
First-principles (PBE-GGA) data for a relaxed structure of Tc2AsPd, as listed in OQMD.

Crystal system = cubic

Cell lengths 4.4059, 4.4059, 4.4059 Å; angles 60.00, 60.00, 60.00 degrees
Sites, in units of the cell vectors:
As 0.5000 0.5000 0.5000
Pd 0.2500 0.2500 0.2500
Tc 0.0000 0.0000 0.0000
Tc 0.7500 0.7500 0.7500


7.
First-principles (PBE-GGA) data for a relaxed structure of PaCo, as listed in OQMD.

Energy of formation from the pure elements = 55.0 kJ/mol of atoms
Crystal system = cubic

Cell lengths 4.0796, 4.0796, 4.0796 Å; angles 60.00, 60.00, 60.00 degrees
Sites, in units of the cell vectors:
Co 0.0000 0.0000 0.0000
Pa 0.2500 0.2500 0.2500


8.
First-principles (PBE-GGA) data for a relaxed structure of HoCoGe2Pd, as listed in OQMD.

Crystal system = tetragonal

Cell lengths 5.8680, 5.8680, 5.8680 Å; angles 138.95, 138.95, 59.46 degrees
Sites, in units of the cell vectors:
Co 0.0000 0.0000 0.0000
Ge 0.1283 0.6283 0.5000
Ge 0.3717 0.8717 0.5000
Ho 0.7500 0.2500 0.5000
Pd 0.5000 0.5000 0.0000


| no. | size of the total moment (μB per cell) | DFT total energy (eV per atom) |
| --- | --- | --- |
| 1 | 0.0 | -4.85 |
| 2 | 0.0 | -6.03 |
| 3 | 0.0 | -6.08 |
| 4 | 0.0 | -2.30 |
| 5 | 0.0 | -3.31 |
| 6 | 0.2 | -7.34 |
| 7 | 0.0 | -7.73 |
| 8 | 1.2 | -5.87 |